Material: Nd4Ho2Cd
Method: DFT, PBE
State: relaxed

```
data_Nd4Ho2Cd
_chemical_formula_sum 'Nd4 Ho2 Cd1'
_space_group_name_H-M_alt 'P 1'
_space_group_IT_number 1
_space_group_name_Hall 'P 1'
_cell_length_a 3.561
_cell_length_b 8.655
_cell_length_c 8.574
_cell_angle_alpha 116.69
_cell_angle_beta 101.99
_cell_angle_gamma 90.00
loop_
_atom_site_label
_atom_site_fract_x
_atom_site_fract_y
_atom_site_fract_z
_atom_site_occupancy
Nd1 0.368 0.610 0.736 1
Ho1 0.217 0.139 0.434 1
Nd2 0.632 0.390 0.264 1
Cd1 0.000 0.000 0.000 1
Nd3 0.917 0.295 0.834 1
Nd4 0.083 0.705 0.166 1
Ho2 0.783 0.861 0.566 1
```

Results
Total DFT energy (no corrections) (eV/cell): -28.94
Energy relative to the elements (eV per atom): 0.028